AcEr | GGA-PBE | optimized geometry

Results
As for the space group: F-43m. For the density, the calculation gives 6.42 g cm⁻³. The value obtained for the formation energy is 1774 meV/atom. For the energy above the most stable polymorph in this dataset, the calculation gives 1663.0 meV/atom.

Lattice parameters (Å, degrees): 5.2428 5.2428 5.2428 60.00 60.00 60.00
Closest atoms and distances in Å follow each position.
Positions (direct):
Ac (0.0000, 0.0000, 0.0000)  4 Er 3.21
Er (0.2500, 0.2500, 0.2500)  4 Ac 3.21

BaPr2 | GGA-PBE | optimized geometry

Results
As for the space group: Fd-3m. For the density, the calculation gives 1.44 g cm⁻³. For the energy above the most stable polymorph in this dataset, the calculation gives 2153.8 meV/atom.

Lattice parameters (Å, degrees): 11.1084 11.1084 11.1084 60.00 60.00 60.00
Closest atoms and distances in Å follow each position.
Positions (direct):
Ba (0.2500, 0.2500, 0.2500)  4 Pr 3.40
Ba (0.5000, 0.5000, 0.5000)  4 Pr 3.40
Pr (0.8750, 0.3750, 0.3750)  2 Ba 3.40
Pr (0.3750, 0.8750, 0.3750)  2 Ba 3.40
Pr (0.3750, 0.3750, 0.3750)  2 Ba 3.40
Pr (0.3750, 0.3750, 0.8750)  2 Ba 3.40

Hf2ZrNi2As4Pd2 | GGA-PBE | optimized geometry

Results
As for the space group: Pm. For the density, the calculation gives 9.40 g cm⁻³. For the energy above the most stable polymorph in this dataset, the calculation gives 4.3 meV/atom.

Lattice parameters (Å, degrees): 6.5747 3.8816 7.4599 90.00 90.85 90.00
Closest atoms and distances in Å follow each position.
Positions (direct):
As (0.7478, 0.5000, 0.0953)  3 Ni 2.39-2.47, 1 Pd 2.66
As (0.2498, 0.5000, 0.3622)  1 Ni 2.44, 3 Pd 2.58-2.72
As (0.7497, 0.0000, 0.6466)  1 Ni 2.40, 3 Pd 2.56-2.68
As (0.2428, 0.0000, 0.8929)  3 Ni 2.44-2.49, 1 Pd 2.49, 1 Hf 2.60
Hf (0.0239, 0.0000, 0.1802)  5 As 2.60-2.78
Hf (0.4662, 0.5000, 0.6964)  5 As 2.72-2.85, 3 Ni 2.76-2.85, 2 Pd 3.01
Ni (0.3737, 0.5000, 0.0562)  4 As 2.44-2.47, 2 Ni 2.66
Ni (0.6184, 0.0000, 0.9448)  4 As 2.39-2.49, 2 Ni 2.66
Pd (0.8474, 0.5000, 0.4421)  4 As 2.56-2.72
Pd (0.1457, 0.0000, 0.5689)  4 As 2.49-2.68
Zr (0.5367, 0.0000, 0.3115)  5 As 2.74-2.89, 3 Ni 2.80-2.91, 2 Pd 2.97

BiPd2Pb2 | GGA-PBE | optimized geometry

Results
As for the space group: I4/mmm. For the density, the calculation gives 11.31 g cm⁻³. The value obtained for the total energy is -21.742 eV/cell.

Lattice parameters (Å, degrees): 6.8776 6.8776 6.8776 141.93 141.93 54.93
Closest atoms and distances in Å follow each position.
Positions (direct):
Bi (0.0000, 0.0000, 0.0000)  8 Pd 3.43, 8 Pb 3.79
Pb (0.7500, 0.2500, 0.5000)  4 Pd 2.84, 4 Pb 3.17
Pb (0.2500, 0.7500, 0.5000)  4 Pd 2.84, 4 Pb 3.17
Pd (0.3929, 0.3929, 0.0000)  1 Pd 2.61, 4 Pb 2.84
Pd (0.6071, 0.6071, 0.0000)  1 Pd 2.61, 4 Pb 2.84

MgTaCuB | GGA-PBE | optimized geometry

Results
As for the space group: F-43m. For the density, the calculation gives 8.37 g cm⁻³. For the energy above the most stable polymorph in this dataset, the calculation gives 315.9 meV/atom.

Lattice parameters (Å, degrees): 4.2804 4.2804 4.2804 60.00 60.00 60.00
Closest atoms and distances in Å follow each position.
Positions (direct):
B (0.0000, 0.0000, 0.0000)  4 Mg 2.62, 4 Cu 2.62
Cu (0.7500, 0.7500, 0.7500)  4 Ta 2.62, 4 B 2.62
Mg (0.2500, 0.2500, 0.2500)  4 Ta 2.62, 4 B 2.62
Ta (0.5000, 0.5000, 0.5000)  4 Mg 2.62, 4 Cu 2.62

CuSbTe3Pd | GGA-PBE | optimized geometry

Results
As for the space group: P2_12_12_1. For the density, the calculation gives 6.80 g cm⁻³. The value obtained for the total energy is -93.998 eV/cell.

Lattice parameters (Å, degrees): 5.4019 8.5228 14.3109 90.00 90.00 90.00
Closest atoms and distances in Å follow each position.
Positions (direct):
Cu (0.9643, 0.1071, 0.0575)  4 Te 2.55-2.57
Cu (0.0357, 0.6071, 0.4425)  4 Te 2.55-2.57
Cu (0.5357, 0.8929, 0.5575)  4 Te 2.55-2.57
Cu (0.4643, 0.3929, 0.9425)  4 Te 2.55-2.57
Pd (0.4798, 0.8537, 0.2475)  4 Te 2.62-2.68
Pd (0.5202, 0.3537, 0.2525)  4 Te 2.62-2.68
Pd (0.0202, 0.1463, 0.7475)  4 Te 2.62-2.68
Pd (0.9798, 0.6463, 0.7525)  4 Te 2.62-2.68
Sb (0.1012, 0.6269, 0.1408)  3 Te 2.91-3.02, 1 Pd 3.20
Sb (0.8988, 0.1269, 0.3592)  3 Te 2.91-3.02, 1 Pd 3.20
Sb (0.3988, 0.3731, 0.6408)  3 Te 2.91-3.02, 1 Pd 3.20
Sb (0.6012, 0.8731, 0.8592)  3 Te 2.91-3.02, 1 Pd 3.20
Te (0.7267, 0.8530, 0.0849)  1 Cu 2.55, 1 Pd 2.68
Te (0.7453, 0.3696, 0.0872)  2 Cu 2.57, 1 Pd 2.66
Te (0.2490, 0.1121, 0.2013)  1 Cu 2.57, 2 Pd 2.62-2.63
Te (0.7510, 0.6121, 0.2987)  1 Cu 2.57, 2 Pd 2.62-2.63
Te (0.2547, 0.8696, 0.4128)  2 Cu 2.57, 1 Pd 2.66
Te (0.2733, 0.3530, 0.4151)  1 Cu 2.55, 1 Pd 2.68
Te (0.7733, 0.1470, 0.5849)  1 Cu 2.55, 1 Pd 2.68
Te (0.7547, 0.6304, 0.5872)  2 Cu 2.57, 1 Pd 2.66
Te (0.2510, 0.8879, 0.7013)  1 Cu 2.57, 2 Pd 2.62-2.63
Te (0.7490, 0.3879, 0.7987)  1 Cu 2.57, 2 Pd 2.62-2.63
Te (0.2453, 0.1304, 0.9128)  2 Cu 2.57, 1 Pd 2.66
Te (0.2267, 0.6470, 0.9151)  1 Cu 2.55, 1 Pd 2.68

ErCuSb2 | GGA-PBE | optimized geometry

Results
As for the space group: P4/nmm. For the density, the calculation gives 8.77 g cm⁻³. The value obtained for the total energy is -37.697 eV/cell.

Lattice parameters (Å, degrees): 4.2906 4.2906 9.7615 90.00 90.00 90.00
Closest atoms and distances in Å follow each position.
Positions (direct):
Cu (0.0000, 0.0000, 0.5000)  4 Sb 2.68
Cu (0.5000, 0.5000, 0.5000)  4 Sb 2.68
Er (0.5000, 0.0000, 0.2498)  8 Sb 3.15-3.25, 4 Cu 3.25
Er (0.0000, 0.5000, 0.7502)  8 Sb 3.15-3.25, 4 Cu 3.25
Sb (0.0000, 0.0000, 0.0000)  4 Sb 3.03, 4 Er 3.25
Sb (0.5000, 0.5000, 0.0000)  4 Sb 3.03, 4 Er 3.25
Sb (0.0000, 0.5000, 0.3358)  4 Cu 2.68
Sb (0.5000, 0.0000, 0.6642)  4 Cu 2.68

NaPrTl | GGA-PBE | optimized geometry

Results
As for the space group: F-43m. For the density, the calculation gives 5.98 g cm⁻³. For the energy above the most stable polymorph in this dataset, the calculation gives 0.0 meV/atom.

Lattice parameters (Å, degrees): 5.2485 5.2485 5.2485 60.00 60.00 60.00
Closest atoms and distances in Å follow each position.
Positions (direct):
Na (0.2500, 0.2500, 0.2500)  4 Tl 3.21
Pr (0.7500, 0.7500, 0.7500)  4 Tl 3.21
Tl (0.0000, 0.0000, 0.0000)  4 Pr 3.21, 4 Na 3.21

Dy2YTc | GGA-PBE | optimized geometry

Results
As for the space group: Cmcm. For the density, the calculation gives 8.00 g cm⁻³. The value obtained for the formation energy is -98 meV/atom.

Lattice parameters (Å, degrees): 3.9196 9.1389 6.2489 90.00 108.27 90.00
Closest atoms and distances in Å follow each position.
Positions (direct):
Dy (0.1443, 0.5660, 0.2887)  3 Tc 2.92-3.11
Dy (0.1443, 0.9340, 0.2887)  3 Tc 2.92-3.11
Dy (0.8557, 0.0660, 0.7113)  3 Tc 2.92-3.11
Dy (0.8557, 0.4340, 0.7113)  3 Tc 2.92-3.11
Tc (0.2409, 0.2500, 0.4816)  2 Y 2.80, 6 Dy 2.92-3.11
Tc (0.7592, 0.7500, 0.5184)  2 Y 2.80, 6 Dy 2.92-3.11
Y (0.5720, 0.2500, 0.1440)  2 Tc 2.80
Y (0.4280, 0.7500, 0.8560)  2 Tc 2.80

Ta5Re7 | GGA-PBE | optimized geometry

Results
As for the space group: P6_3/mmc. For the density, the calculation gives 18.30 g cm⁻³. The value obtained for the formation energy is 404 meV/atom. For the energy above the most stable polymorph in this dataset, the calculation gives 253.0 meV/atom.

Lattice parameters (Å, degrees): 5.2003 5.2003 17.1147 90.00 90.00 120.00
Closest atoms and distances in Å follow each position.
Positions (direct):
Re (0.5000, 0.0000, 0.0000)  2 Ta 2.54, 4 Re 2.60
Re (0.0000, 0.5000, 0.0000)  2 Ta 2.54, 4 Re 2.60
Re (0.5000, 0.5000, 0.0000)  2 Ta 2.54, 4 Re 2.60
Re (0.0000, 0.0000, 0.0928)  6 Ta 3.04-3.07, 10 Re 3.05-3.18
Re (0.6667, 0.3333, 0.1484)  6 Re 2.95-3.15, 9 Ta 3.04-3.13
Re (0.6667, 0.3333, 0.3516)  6 Re 2.95-3.15, 9 Ta 3.04-3.13
Re (0.0000, 0.0000, 0.4072)  6 Ta 3.04-3.07, 10 Re 3.05-3.18
Re (0.5000, 0.0000, 0.5000)  2 Ta 2.54, 4 Re 2.60
Re (0.0000, 0.5000, 0.5000)  2 Ta 2.54, 4 Re 2.60
Re (0.5000, 0.5000, 0.5000)  2 Ta 2.54, 4 Re 2.60
Re (0.0000, 0.0000, 0.5928)  6 Ta 3.04-3.07, 10 Re 3.05-3.18
Re (0.3333, 0.6667, 0.6484)  6 Re 2.95-3.15, 9 Ta 3.04-3.13
Re (0.3333, 0.6667, 0.8516)  6 Re 2.95-3.15, 9 Ta 3.04-3.13
Re (0.0000, 0.0000, 0.9072)  6 Ta 3.04-3.07, 10 Re 3.05-3.18
Ta (0.3333, 0.6667, 0.1195)  3 Re 2.54, 3 Ta 2.71
Ta (0.1638, 0.3275, 0.2500)  6 Ta 2.55-2.71
Ta (0.1638, 0.8362, 0.2500)  6 Ta 2.55-2.71
Ta (0.6725, 0.8362, 0.2500)  6 Ta 2.55-2.71
Ta (0.3333, 0.6667, 0.3805)  3 Re 2.54, 3 Ta 2.71
Ta (0.6667, 0.3333, 0.6195)  3 Re 2.54, 3 Ta 2.71
Ta (0.3275, 0.1638, 0.7500)  6 Ta 2.55-2.71
Ta (0.8362, 0.1638, 0.7500)  6 Ta 2.55-2.71
Ta (0.8362, 0.6725, 0.7500)  6 Ta 2.55-2.71
Ta (0.6667, 0.3333, 0.8805)  3 Re 2.54, 3 Ta 2.71

GdMg2Fe | GGA-PBE | optimized geometry

Results
As for the space group: P-6m2. For the density, the calculation gives 5.36 g cm⁻³. The value obtained for the total energy is -14.187 eV/cell.

Lattice parameters (Å, degrees): 3.0282 3.0282 10.2126 90.00 90.00 120.00
Closest atoms and distances in Å follow each position.
Positions (direct):
Fe (0.3333, 0.6667, 0.0000)  6 Mg 2.63
Gd (0.6667, 0.3333, 0.5000)  6 Gd 3.03, 2 Mg 3.14
Mg (0.6667, 0.3333, 0.1926)  3 Fe 2.63
Mg (0.6667, 0.3333, 0.8074)  3 Fe 2.63

TaGaCo2 | GGA-PBE | optimized geometry

Results
As for the space group: P4/mmm. For the density, the calculation gives 11.73 g cm⁻³. The value obtained for the total energy is -30.102 eV/cell.

Lattice parameters (Å, degrees): 2.8112 2.8112 6.5993 90.00 90.00 90.00
Closest atoms and distances in Å follow each position.
Positions (direct):
Co (0.5000, 0.5000, 0.2280)  4 Ga 2.49, 4 Ta 2.68
Co (0.5000, 0.5000, 0.7720)  4 Ga 2.49, 4 Ta 2.68
Ga (0.0000, 0.0000, 0.0000)  8 Co 2.49
Ta (0.0000, 0.0000, 0.5000)  8 Co 2.68, 4 Ta 2.81

Q: Among the records above, which one has the highest density?
A: Ta5Re7